First-principles (PBE) data for an optimized crystal structure of CeGdNiPd, as listed in Alexandria via LeMat-Bulk.

## Properties
Uncorrected energy (eV/f.u.): -32.9
ρ (g/cm³): 8.9
E_form (eV/atom): -0.4722
D(E_F) (states/eV/cell): 30.31
Crystal system: cubic

a b c (Å): 7.0075 7.0075 7.0075
angles (deg): 90.00 90.00 90.00
Space group F-43m (No. 216)
One atom of each set of equivalent atoms:
Ce1 0.0000 0.0000 0.0000 (multiplicity 4)
Gd1 0.0000 0.0000 0.5000 (multiplicity 4)
Ni1 0.2500 0.2500 0.7500 (multiplicity 4)
Pd1 0.2500 0.2500 0.2500 (multiplicity 4)